This record from Alexandria describes a relaxed NpPt2Rh6 crystal. The functional is GGA-PBE.

## Properties
symmetry	P-31m, No. 162
formation enthalpy at 0 K	3.1	kJ per mole of atoms

Cell: 7.658 7.658 2.783 Å, 90.00 90.00 120.00°
Element x y z (fractional)
Np  0.000  0.000  0.000
Pt  0.333  0.667  0.500
Pt  0.667  0.333  0.500
Rh  0.000  0.327  0.232
Rh  0.000  0.673  0.768
Rh  0.327  0.000  0.232
Rh  0.327  0.327  0.768
Rh  0.673  0.000  0.768
Rh  0.673  0.673  0.232

This record from Alexandria describes a relaxed SrCr2Ni crystal. The functional is GGA-PBE.

## Properties
symmetry	P4/mmm, No. 123
formation enthalpy at 0 K	89.7	kJ per mole of atoms

Cell: 4.268 4.268 4.506 Å, 90.00 90.00 90.00°
Element x y z (fractional)
Sr  0.000  0.000  0.000
Cr  0.000  0.500  0.500
Cr  0.500  0.000  0.500
Ni  0.500  0.500  0.000

This record from Alexandria describes a relaxed Y3ErRu8 crystal. The functional is GGA-PBE.

## Properties
symmetry	R3m, No. 160
formation enthalpy at 0 K	-28.8	kJ per mole of atoms

Cell: 9.272 9.272 9.272 Å, 33.38 33.38 33.38°
Element x y z (fractional)
Y  0.000  0.000  0.000
Y  0.125  0.125  0.125
Y  0.625  0.625  0.625
Er  0.500  0.500  0.500
Ru  0.063  0.063  0.561
Ru  0.063  0.561  0.063
Ru  0.064  0.563  0.563
Ru  0.313  0.313  0.313
Ru  0.561  0.063  0.063
Ru  0.563  0.064  0.563
Ru  0.563  0.563  0.064
Ru  0.813  0.813  0.813

This record from Alexandria describes a relaxed CaTlAg crystal. The functional is GGA-PBE.

## Properties
symmetry	P3m1, No. 156
formation enthalpy at 0 K	-6.4	kJ per mole of atoms

Cell: 3.816 3.816 6.738 Å, 90.00 90.00 120.00°
Element x y z (fractional)
Ca  0.000  0.000  0.000
Tl  0.667  0.333  0.380
Ag  0.333  0.667  0.678

This record from Alexandria describes a relaxed Hg2BrCl crystal. The functional is GGA-PBE.

## Properties
formation energy from raw total energies	-0.32	eV/atom
symmetry	R3m, No. 160

Cell: 8.908 8.908 8.908 Å, 25.85 25.85 25.85°
Element x y z (fractional)
Hg  0.000  0.000  0.000
Hg  0.259  0.259  0.259
Br  0.526  0.526  0.526
Cl  0.726  0.726  0.726

This record from Alexandria describes a relaxed Zn2CoRe crystal. The functional is GGA-PBE.

## Properties
symmetry	R3m, No. 160
formation enthalpy at 0 K	8.9	kJ per mole of atoms

Cell: 8.905 8.905 8.905 Å, 17.47 17.47 17.47°
Element x y z (fractional)
Zn  0.000  0.000  0.000
Zn  0.241  0.241  0.241
Co  0.745  0.745  0.745
Re  0.487  0.487  0.487

This record from Alexandria describes a relaxed Tl6TeAu2 crystal. The functional is GGA-PBE.

## Properties
formation energy from raw total energies	-0.09	eV/atom
symmetry	C2/m, No. 12

Cell: 6.815 6.815 9.598 Å, 100.84 100.84 38.23°
Element x y z (fractional)
Tl  0.058  0.058  0.349
Tl  0.320  0.320  0.918
Tl  0.361  0.361  0.310
Tl  0.639  0.639  0.690
Tl  0.680  0.680  0.082
Tl  0.942  0.942  0.651
Te  0.000  0.000  0.000
Au  0.282  0.282  0.601
Au  0.718  0.718  0.399

This record from Alexandria describes a relaxed ZnB2H crystal. The functional is GGA-PBE.

## Properties
symmetry	Fm-3m, No. 225

Cell: 3.614 3.614 3.614 Å, 60.00 60.00 60.00°
Element x y z (fractional)
Zn  0.000  0.000  0.000
B  0.250  0.250  0.250
B  0.750  0.750  0.750
H  0.500  0.500  0.500

Number 1: total DFT energy (no corrections) -68.85 eV per formula unit, N(E_F) 1.6995 states/eV per atom. Number 2: total DFT energy (no corrections) -22.99 eV per formula unit, N(E_F) 1.1749 states/eV per atom. Number 3: total DFT energy (no corrections) -101.74 eV per formula unit, N(E_F) 1.2573 states/eV per atom. Number 4: total DFT energy (no corrections) -7.42 eV per formula unit, N(E_F) 0.6369 states/eV per atom. Number 5: total DFT energy (no corrections) -5.41 eV per formula unit, N(E_F) 0.1875 states/eV per atom. Number 6: total DFT energy (no corrections) -21.73 eV per formula unit, N(E_F) 0.7091 states/eV per atom. Number 7: total DFT energy (no corrections) -24.72 eV per formula unit, N(E_F) 0.3286 states/eV per atom. Number 8: total DFT energy (no corrections) -11.70 eV per formula unit, N(E_F) 0.4072 states/eV per atom.